Record 1
Density functional theory data (SCAN) for a crystal of MgZrIr2C relaxed with PBEsol.

Unit cell a=4.723 b=4.723 c=5.508 alpha=90.00 beta=90.00 gamma=90.00
Sites, in units of the cell vectors:
1 Mg 0.000 0.000 0.000
2 Zr 0.000 0.000 0.500
3 Ir 0.000 0.500 0.500
4 Ir 0.500 0.000 0.500
5 C 0.500 0.500 0.000

Summary:
Calculated formation energy in eV per atom: 2.664
Density of states at the Fermi level in states/eV per cell: 2.383

---

Record 2
Density functional theory data (SCAN) for a crystal of MnIrC3 relaxed with PBEsol.

Unit cell a=3.682 b=3.682 c=3.682 alpha=90.00 beta=90.00 gamma=90.00
Sites, in units of the cell vectors:
1 Mn 0.000 0.000 0.000
2 Ir 0.500 0.500 0.500
3 C 0.000 0.000 0.500
4 C 0.000 0.500 0.000
5 C 0.500 0.000 0.000

Summary:
Calculated formation energy in eV per atom: 2.247
Density of states at the Fermi level in states/eV per cell: 2.533

---

Record 3
Density functional theory data (SCAN) for a crystal of MoIr3C relaxed with PBEsol.

Unit cell a=4.627 b=4.627 c=4.627 alpha=90.00 beta=90.00 gamma=90.00
Sites, in units of the cell vectors:
1 Mo 0.000 0.000 0.000
2 Ir 0.000 0.000 0.500
3 Ir 0.000 0.500 0.000
4 Ir 0.500 0.000 0.000
5 C 0.500 0.500 0.500

Summary:
Calculated formation energy in eV per atom: 3.190
Density of states at the Fermi level in states/eV per cell: 4.278

---

Record 4
Density functional theory data (SCAN) for a crystal of NbMoIr2C relaxed with PBEsol.

Unit cell a=4.697 b=4.697 c=3.863 alpha=90.00 beta=90.00 gamma=90.00
Sites, in units of the cell vectors:
1 Nb 0.000 0.000 0.000
2 Mo 0.500 0.500 0.500
3 Ir 0.000 0.500 0.500
4 Ir 0.500 0.000 0.500
5 C 0.500 0.500 0.000

Summary:
Calculated formation energy in eV per atom: 1.587
Density of states at the Fermi level in states/eV per cell: 4.622

---

Record 5
Density functional theory data (SCAN) for a crystal of SrMoIrC2 relaxed with PBEsol.

Unit cell a=4.222 b=4.222 c=5.097 alpha=90.00 beta=90.00 gamma=90.00
Sites, in units of the cell vectors:
1 Sr 0.000 0.000 0.000
2 Mo 0.500 0.500 0.500
3 Ir 0.000 0.000 0.500
4 C 0.000 0.500 0.000
5 C 0.500 0.000 0.000

Summary:
Calculated formation energy in eV per atom: 3.682
Density of states at the Fermi level in states/eV per cell: 4.447

---

Record 6
Density functional theory data (SCAN) for a crystal of Y2MoIrC relaxed with PBEsol.

Unit cell a=5.284 b=5.284 c=4.578 alpha=90.00 beta=90.00 gamma=90.00
Sites, in units of the cell vectors:
1 Y 0.000 0.500 0.000
2 Y 0.500 0.000 0.000
3 Mo 0.000 0.000 0.500
4 Ir 0.000 0.000 0.000
5 C 0.500 0.500 0.500

Summary:
Calculated formation energy in eV per atom: 1.214
Density of states at the Fermi level in states/eV per cell: 3.285

---

Record 7
Density functional theory data (SCAN) for a crystal of IrCN2O relaxed with PBEsol.

Unit cell a=3.779 b=3.779 c=3.817 alpha=90.00 beta=90.00 gamma=90.00
Sites, in units of the cell vectors:
1 Ir 0.000 0.000 0.000
2 C 0.500 0.500 0.500
3 N 0.000 0.500 0.000
4 N 0.500 0.000 0.000
5 O 0.000 0.000 0.500

Summary:
Formation energy without anion corrections in eV per atom: 2.1587
Density of states at the Fermi level in states/eV per cell: 2.887

---

Record 8
Density functional theory data (SCAN) for a crystal of Nb3IrC relaxed with PBEsol.

Unit cell a=4.787 b=4.787 c=4.787 alpha=90.00 beta=90.00 gamma=90.00
Sites, in units of the cell vectors:
1 Nb 0.000 0.000 0.500
2 Nb 0.000 0.500 0.000
3 Nb 0.500 0.000 0.000
4 Ir 0.000 0.000 0.000
5 C 0.500 0.500 0.500

Summary:
Calculated formation energy in eV per atom: 2.105
E above lowest polymorph in eV per formula unit: 12.076
Density of states at the Fermi level in states/eV per cell: 7.259

---

Record 9
Density functional theory data (SCAN) for a crystal of Nb3IrC relaxed with PBEsol.

Unit cell a=4.227 b=4.227 c=4.227 alpha=90.00 beta=90.00 gamma=90.00
Sites, in units of the cell vectors:
1 Nb 0.000 0.000 0.500
2 Nb 0.000 0.500 0.000
3 Nb 0.500 0.000 0.000
4 Ir 0.500 0.500 0.500
5 C 0.000 0.000 0.000

Summary:
Calculated formation energy in eV per atom: -0.310
E above lowest polymorph in eV per formula unit: 0.000
Density of states at the Fermi level in states/eV per cell: 3.638

---

Record 10
Density functional theory data (SCAN) for a crystal of ScNbIrC2 relaxed with PBEsol.

Unit cell a=3.991 b=3.991 c=5.042 alpha=90.00 beta=90.00 gamma=90.00
Sites, in units of the cell vectors:
1 Sc 0.000 0.000 0.000
2 Nb 0.000 0.000 0.500
3 Ir 0.500 0.500 0.500
4 C 0.000 0.500 0.000
5 C 0.500 0.000 0.000

Summary:
Calculated formation energy in eV per atom: 2.563
Density of states at the Fermi level in states/eV per cell: 5.058

---

Record 11
Density functional theory data (SCAN) for a crystal of Ni2IrWC relaxed with PBEsol.

Unit cell a=4.410 b=4.410 c=4.651 alpha=90.00 beta=90.00 gamma=90.00
Sites, in units of the cell vectors:
1 Ni 0.000 0.500 0.000
2 Ni 0.500 0.000 0.000
3 Ir 0.000 0.000 0.500
4 W 0.000 0.000 0.000
5 C 0.500 0.500 0.500

Summary:
Calculated formation energy in eV per atom: 2.928
Density of states at the Fermi level in states/eV per cell: 4.715

---

Record 12
Density functional theory data (SCAN) for a crystal of Ir2OsC relaxed with PBEsol.

Unit cell a=6.166 b=6.166 c=6.166 alpha=132.09 beta=132.09 gamma=70.09
Sites, in units of the cell vectors:
1 Ir 0.054 0.625 0.929
2 Ir 0.375 0.304 0.429
3 Ir 0.696 0.125 0.071
4 Ir 0.875 0.946 0.571
5 Os 0.250 0.750 0.500
6 Os 0.500 0.500 0.000
7 C 0.000 0.000 0.000
8 C 0.750 0.250 0.500

Summary:
Calculated formation energy in eV per atom: 0.854
Density of states at the Fermi level in states/eV per cell: 3.820